# 1
! FePd3Cl (PBE, relaxed); values from VASP
! Total magnetic moment, μB per atom: 0.63
! Relative energy among the computed polymorphs, meV per atom: 0
&SYSTEM
  ibrav = 0, nat = 5, ntyp = 3
/
ATOMIC_SPECIES
Fe 55.84 Fe.upf
Pd 106.42 Pd.upf
Cl 35.45 Cl.upf
CELL_PARAMETERS angstrom
4.511 0.000 0.000
0.000 4.511 0.000
0.000 0.000 4.511
ATOMIC_POSITIONS angstrom
Fe 0.000 0.000 0.000
Pd 0.000 2.255 2.255
Pd 2.255 0.000 2.255
Pd 2.255 2.255 0.000
Cl 2.255 2.255 2.255

# 2
! FePdCl2 (PBE, relaxed); values from VASP
! Total magnetic moment, μB per atom: 1.00
! Relative energy among the computed polymorphs, meV per atom: 152
&SYSTEM
  ibrav = 0, nat = 4, ntyp = 3
/
ATOMIC_SPECIES
Fe 55.84 Fe.upf
Pd 106.42 Pd.upf
Cl 35.45 Cl.upf
CELL_PARAMETERS angstrom
0.000 3.215 3.215
3.215 0.000 3.215
3.215 3.215 0.000
ATOMIC_POSITIONS angstrom
Fe 0.000 0.000 0.000
Pd 3.215 3.215 3.215
Cl 1.607 1.607 1.607
Cl 4.822 4.822 4.822

> Number 2 is which compound?

FePdCl2